Be2CrTeO8 | PBE with a Hubbard U | optimized geometry

Lattice parameters (Å, degrees): 5.3045 5.3045 5.5005 90.00 90.00 120.00
With the nearest neighbours (Å) after each atom.
Space group P-3m1 (No. 164)
Asymmetric unit:
Be  0.3333  0.6667  0.2993 x2  4 O 1.64
Cr  0.0000  0.0000  0.5000 x1  6 O 2.04
Te  0.0000  0.0000  0.0000 x1  6 O 1.97
O  0.1586  0.3173  0.2400 x6  1 Be 1.64
O  0.3333  0.6667  0.5977 x2  1 Be 1.64

Total energy in eV/atom: -5.86
Calculated density in Mg/m³: 4.034
Magnetic moment in μB per formula unit: 2.00